First-principles (GGA-PBE) data for a geometry-optimized Ta3AuBr structure, as listed in the Alexandria database.

POSCAR file:
```
Ta3AuBr
1.0
4.697 0.000 0.000
0.000 4.697 0.000
0.000 0.000 4.697
Ta Au Br
3 1 1
direct
0.000 0.000 0.500
0.000 0.500 0.000
0.500 0.000 0.000
0.500 0.500 0.500
0.000 0.000 0.000
```

DOS(E_F) ... 1.539 states/eV per atom
Raw formation energy ... 1.49 eV per atom
Density ... 13.1 g/cm³


First-principles (GGA-PBE) data for a geometry-optimized Ta2AuBr structure, as listed in the Alexandria database.

POSCAR file:
```
Ta2AuBr
1.0
1.524 0.880 9.143
-1.524 0.880 9.143
0.000 -1.760 9.143
Ta Au Br
2 1 1
direct
0.249 0.249 0.249
0.751 0.751 0.751
0.000 0.000 0.000
0.500 0.500 0.500
```

DOS(E_F) ... 0.941 states/eV per atom
Raw formation energy ... 0.30 eV per atom
Density ... 14.4 g/cm³


First-principles (GGA-PBE) data for a geometry-optimized TaAuBr2 structure, as listed in the Alexandria database.

POSCAR file:
```
TaAuBr2
1.0
7.780 -1.547 0.000
7.780 1.547 0.000
-1.534 0.000 4.684
Ta Au Br
1 1 2
direct
0.000 0.000 0.000
0.500 0.500 0.500
0.354 0.354 0.856
0.646 0.646 0.144
```

DOS(E_F) ... 0.428 states/eV per atom
Raw formation energy ... -0.21 eV per atom
Density ... 7.9 g/cm³


First-principles (GGA-PBE) data for a geometry-optimized Ta2AuBr structure, as listed in the Alexandria database.

POSCAR file:
```
Ta2AuBr
1.0
3.251 0.000 0.000
0.000 4.764 0.000
0.000 0.000 4.922
Ta Au Br
2 1 1
direct
0.000 0.000 0.000
0.500 0.000 0.500
0.000 0.500 0.500
0.500 0.500 0.000
```

DOS(E_F) ... 0.908 states/eV per atom
Raw formation energy ... 0.64 eV per atom
Density ... 13.9 g/cm³


First-principles (GGA-PBE) data for a geometry-optimized TaAuBr2 structure, as listed in the Alexandria database.

POSCAR file:
```
TaAuBr2
1.0
-2.325 2.325 3.932
2.325 -2.325 3.932
2.325 2.325 -3.932
Ta Au Br
1 1 2
direct
0.000 0.000 0.000
0.250 0.750 0.500
0.500 0.500 0.000
0.750 0.250 0.500
```

DOS(E_F) ... 0.887 states/eV per atom
Raw formation energy ... 0.77 eV per atom
Density ... 10.5 g/cm³


First-principles (GGA-PBE) data for a geometry-optimized TaAuBr2 structure, as listed in the Alexandria database.

POSCAR file:
```
TaAuBr2
1.0
1.595 0.921 10.910
-1.595 0.921 10.910
0.000 -1.842 10.910
Ta Au Br
1 1 2
direct
0.000 0.000 0.000
0.500 0.500 0.500
0.274 0.274 0.274
0.726 0.726 0.726
```

DOS(E_F) ... 0.323 states/eV per atom
Raw formation energy ... -0.07 eV per atom
Density ... 9.3 g/cm³


First-principles (GGA-PBE) data for a geometry-optimized Ta2AuBr structure, as listed in the Alexandria database.

POSCAR file:
```
Ta2AuBr
1.0
5.400 -2.497 0.000
5.400 2.497 0.000
-0.006 0.000 3.031
Ta Au Br
2 1 1
direct
0.000 0.000 0.000
0.205 0.205 0.502
0.494 0.494 0.499
0.782 0.782 0.499
```

DOS(E_F) ... 0.544 states/eV per atom
Raw formation energy ... 0.32 eV per atom
Density ... 13.0 g/cm³


First-principles (GGA-PBE) data for a geometry-optimized TaAuBr3 structure, as listed in the Alexandria database.

POSCAR file:
```
TaAuBr3
1.0
5.278 0.000 0.000
0.000 5.278 0.000
0.000 0.000 5.278
Ta Au Br
1 1 3
direct
0.000 0.000 0.000
0.500 0.500 0.500
0.000 0.500 0.500
0.500 0.000 0.500
0.500 0.500 0.000
```

DOS(E_F) ... 1.022 states/eV per atom
Raw formation energy ... 1.04 eV per atom
Density ... 7.0 g/cm³


First-principles (GGA-PBE) data for a geometry-optimized TaAuBr2 structure, as listed in the Alexandria database.

POSCAR file:
```
TaAuBr2
1.0
1.536 -2.921 0.000
1.536 2.921 0.000
0.000 0.000 11.157
Ta Au Br
1 1 2
direct
0.000 0.000 0.000
0.000 0.000 0.500
0.500 0.500 0.191
0.500 0.500 0.809
```

DOS(E_F) ... 0.450 states/eV per atom
Raw formation energy ... 0.16 eV per atom
Density ... 8.9 g/cm³


First-principles (GGA-PBE) data for a geometry-optimized Ta2AuBr structure, as listed in the Alexandria database.

POSCAR file:
```
Ta2AuBr
1.0
1.546 0.893 10.011
-1.546 0.893 10.011
0.000 -1.785 10.011
Ta Au Br
2 1 1
direct
0.000 0.000 0.000
0.250 0.250 0.250
0.510 0.510 0.510
0.731 0.731 0.731
```

DOS(E_F) ... 0.765 states/eV per atom
Raw formation energy ... 0.09 eV per atom
Density ... 12.8 g/cm³


First-principles (GGA-PBE) data for a geometry-optimized TaAuBr2 structure, as listed in the Alexandria database.

POSCAR file:
```
TaAuBr2
1.0
0.000 3.408 3.408
3.408 0.000 3.408
3.408 3.408 0.000
Ta Au Br
1 1 2
direct
0.000 0.000 0.000
0.500 0.500 0.500
0.250 0.250 0.250
0.750 0.750 0.750
```

DOS(E_F) ... 0.942 states/eV per atom
Raw formation energy ... 0.70 eV per atom
Density ... 11.3 g/cm³


First-principles (GGA-PBE) data for a geometry-optimized Ta2AuBr structure, as listed in the Alexandria database.

POSCAR file:
```
Ta2AuBr
1.0
-2.037 2.037 4.560
2.037 -2.037 4.560
2.037 2.037 -4.560
Ta Au Br
2 1 1
direct
0.000 0.000 0.000
0.750 0.250 0.500
0.250 0.750 0.500
0.500 0.500 0.000
```

DOS(E_F) ... 1.276 states/eV per atom
Raw formation energy ... 0.80 eV per atom
Density ... 14.0 g/cm³


First-principles (GGA-PBE) data for a geometry-optimized TaAuBr2 structure, as listed in the Alexandria database.

POSCAR file:
```
TaAuBr2
1.0
3.114 0.000 0.000
0.000 3.114 0.000
0.000 0.000 9.607
Ta Au Br
1 1 2
direct
0.000 0.000 0.000
0.000 0.000 0.500
0.500 0.500 0.173
0.500 0.500 0.827
```

DOS(E_F) ... 0.432 states/eV per atom
Raw formation energy ... 0.18 eV per atom
Density ... 9.6 g/cm³


First-principles (GGA-PBE) data for a geometry-optimized Ta2AuBr structure, as listed in the Alexandria database.

POSCAR file:
```
Ta2AuBr
1.0
3.017 0.000 0.000
0.000 4.246 0.000
-0.066 0.000 5.926
Ta Au Br
2 1 1
direct
0.004 0.000 0.236
0.996 0.000 0.764
0.500 0.500 0.000
0.000 0.500 0.500
```

DOS(E_F) ... 0.532 states/eV per atom
Raw formation energy ... 0.37 eV per atom
Density ... 14.0 g/cm³


First-principles (GGA-PBE) data for a geometry-optimized Ta2AuBr structure, as listed in the Alexandria database.

POSCAR file:
```
Ta2AuBr
1.0
0.000 3.299 3.299
3.299 0.000 3.299
3.299 3.299 0.000
Ta Au Br
2 1 1
direct
0.250 0.250 0.250
0.750 0.750 0.750
0.000 0.000 0.000
0.500 0.500 0.500
```

DOS(E_F) ... 0.677 states/eV per atom
Raw formation energy ... 0.49 eV per atom
Density ... 14.8 g/cm³


First-principles (GGA-PBE) data for a geometry-optimized TaAuBr2 structure, as listed in the Alexandria database.

POSCAR file:
```
TaAuBr2
1.0
2.995 -1.729 0.000
2.995 1.729 0.000
-1.986 0.000 9.032
Ta Au Br
1 1 2
direct
0.000 0.000 0.000
0.263 0.263 0.787
0.525 0.525 0.574
0.733 0.733 0.199
```

DOS(E_F) ... 0.422 states/eV per atom
Raw formation energy ... -0.12 eV per atom
Density ... 9.5 g/cm³


First-principles (GGA-PBE) data for a geometry-optimized TaAuBr2 structure, as listed in the Alexandria database.

POSCAR file:
```
TaAuBr2
1.0
3.229 0.000 0.000
0.000 4.612 0.000
-0.046 0.000 5.694
Ta Au Br
1 1 2
direct
0.000 0.000 0.000
0.500 0.000 0.500
0.176 0.500 0.237
0.824 0.500 0.763
```

DOS(E_F) ... 0.675 states/eV per atom
Raw formation energy ... 0.41 eV per atom
Density ... 10.5 g/cm³


First-principles (GGA-PBE) data for a geometry-optimized TaAuBr2 structure, as listed in the Alexandria database.

POSCAR file:
```
TaAuBr2
1.0
-2.194 2.194 4.118
2.194 -2.194 4.118
2.194 2.194 -4.118
Ta Au Br
1 1 2
direct
0.000 0.000 0.000
0.500 0.500 0.000
0.250 0.750 0.500
0.750 0.250 0.500
```

DOS(E_F) ... 0.557 states/eV per atom
Raw formation energy ... 0.61 eV per atom
Density ... 11.3 g/cm³


First-principles (GGA-PBE) data for a geometry-optimized TaAuBr2 structure, as listed in the Alexandria database.

POSCAR file:
```
TaAuBr2
1.0
4.478 0.000 0.000
0.000 4.478 0.000
0.000 0.000 4.225
Ta Au Br
1 1 2
direct
0.000 0.000 0.000
0.500 0.500 0.000
0.000 0.500 0.500
0.500 0.000 0.500
```

DOS(E_F) ... 0.997 states/eV per atom
Raw formation energy ... 0.83 eV per atom
Density ... 10.5 g/cm³


First-principles (GGA-PBE) data for a geometry-optimized Ta2AuBr structure, as listed in the Alexandria database.

POSCAR file:
```
Ta2AuBr
1.0
3.011 0.000 0.000
0.000 3.011 0.000
0.000 0.000 9.168
Ta Au Br
2 1 1
direct
0.000 0.000 0.000
0.500 0.500 0.238
0.000 0.000 0.445
0.500 0.500 0.805
```

DOS(E_F) ... 0.629 states/eV per atom
Raw formation energy ... 0.09 eV per atom
Density ... 12.8 g/cm³